The following is a DFT calculation (PBE) of an optimized crystal structure of Ca2MnPbN.

Unit cell a=5.2249 b=5.2249 c=3.8966 alpha=90.00 beta=90.00 gamma=90.00
Closest atoms and distances in Å follow each position.
Positions (direct):
1 Ca 0.0000 0.5000 0.0000  2 N 2.61
2 Ca 0.5000 0.0000 0.0000  2 N 2.61
3 Mn 0.0000 0.0000 0.5000  2 N 1.95
4 Pb 0.5000 0.5000 0.5000  8 Ca 3.26
5 N 0.0000 0.0000 0.0000  2 Mn 1.95

The formation energy (no corrections) comes out at -485 meV/atom. For the density of states at the Fermi level, the calculation gives 2.48 states/eV/cell. Its crystal system is tetragonal.